The following is a PBE+U calculation of Ca2CoTeO6 after structural relaxation, from Alexandria.

Output
Calculated volume in A^3/atom: 12.17
DOS at the Fermi energy in states/eV per cell: 0.00
M_tot in μB per formula unit: 3.0
Total DFT energy (no corrections) in eV/atom: -6.1581

Geometry as CIF:
```
data_Ca2CoTeO6
_chemical_formula_sum 'Ca4 Co2 Te2 O12'
_symmetry_space_group_name_H-M 'P 1 21/c 1'
_symmetry_Int_Tables_number 14
_cell_length_a 5.510
_cell_length_b 5.678
_cell_length_c 9.508
_cell_angle_alpha 90.00
_cell_angle_beta 125.12
_cell_angle_gamma 90.00
loop_
_symmetry_equiv_pos_as_xyz
'x,y,z'
'-x,-y,-z'
'-x,y+1/2,-z+1/2'
'x,-y+1/2,z+1/2'
loop_
_atom_site_label
_atom_site_type_symbol
_atom_site_fract_x
_atom_site_fract_y
_atom_site_fract_z
_atom_site_occupancy
Ca1 Ca 0.235 0.055 0.249 1
Co1 Co 0.000 0.000 0.500 1
Te1 Te 0.500 0.000 0.000 1
O1 O 0.165 0.191 0.953 1
O2 O 0.260 0.716 0.946 1
O3 O 0.357 0.034 0.759 1
```